No. 1
# BaGa3Ge2 PBE optimized geometry
data_BaGa3Ge2
_space_group_name_H-M_alt 'P 6/m m m'
_space_group_IT_number 191
_space_group_name_Hall '-P 6 2'
_cell_length_a 5.9583
_cell_length_b 5.9583
_cell_length_c 4.5165
_cell_angle_alpha 90.00
_cell_angle_beta 90.00
_cell_angle_gamma 120.00
loop_
_atom_site_label
_atom_site_fract_x
_atom_site_fract_y
_atom_site_fract_z
Ba1 0.0000 0.0000 0.0000
Ga1 0.0000 0.5000 0.5000
Ge1 0.3333 0.6667 0.0000
# energy of formation: -178 meV per atom
# crystal system: hexagonal
# E_tot: -3.551 eV per atom
# total magnetic moment: 0.000 μB per formula unit
# DOS(E_F): 0.48 states/eV per atom
# V: 23.14 Å³ per atom


No. 2
# BaGa2Ge PBE optimized geometry
data_BaGa2Ge
_space_group_name_H-M_alt 'I 41/a m d'
_space_group_IT_number 141
_cell_length_a 5.0684
_cell_length_b 5.0684
_cell_length_c 18.3557
_cell_angle_alpha 90.00
_cell_angle_beta 90.00
_cell_angle_gamma 90.00
loop_
_space_group_symop_operation_xyz
'x,y,z'
'-x,-y,-z'
'-y+1/4,x+3/4,z+1/4'
'y+1/4,-x+3/4,-z+1/4'
'-x+1/2,-y,z+1/2'
'x+1/2,y,-z+1/2'
'y+1/4,-x+1/4,z+3/4'
'-y+1/4,x+1/4,-z+3/4'
'x,-y,-z'
'-x,y,z'
'-y+1/4,-x+1/4,-z+3/4'
'y+1/4,x+1/4,z+3/4'
'-x+1/2,y,-z+1/2'
'x+1/2,-y,z+1/2'
'y+1/4,x+3/4,-z+1/4'
'-y+1/4,-x+3/4,z+1/4'
'x+1/2,y+1/2,z+1/2'
'-x+1/2,-y+1/2,-z+1/2'
'-y+3/4,x+1/4,z+3/4'
'y+3/4,-x+1/4,-z+3/4'
'-x,-y+1/2,z'
'x,y+1/2,-z'
'y+3/4,-x+3/4,z+1/4'
'-y+3/4,x+3/4,-z+1/4'
'x+1/2,-y+1/2,-z+1/2'
'-x+1/2,y+1/2,z+1/2'
'-y+3/4,-x+3/4,-z+1/4'
'y+3/4,x+3/4,z+1/4'
'-x,y+1/2,-z'
'x,-y+1/2,z'
'y+3/4,x+1/4,-z+3/4'
'-y+3/4,-x+1/4,z+3/4'
loop_
_atom_site_label
_atom_site_fract_x
_atom_site_fract_y
_atom_site_fract_z
Ba1 0.0000 0.2500 0.3750
Ga1 0.0000 0.0000 0.0000
Ge1 0.0000 0.2500 0.8750
# energy of formation: -287 meV per atom
# ΔE to the lowest computed polymorph: 42 meV per atom
# crystal system: tetragonal
# E_tot: -3.435 eV per atom
# total magnetic moment: 0.000 μB per formula unit
# DOS(E_F): 0.55 states/eV per atom
# V: 29.47 Å³ per atom


No. 3
# BaGaGe3 PBE optimized geometry
data_BaGaGe3
_space_group_name_H-M_alt 'C m c m'
_space_group_IT_number 63
_space_group_name_Hall '-C 2c 2'
_cell_length_a 4.7747
_cell_length_b 16.5292
_cell_length_c 6.5111
_cell_angle_alpha 90.00
_cell_angle_beta 90.00
_cell_angle_gamma 90.00
loop_
_atom_site_label
_atom_site_fract_x
_atom_site_fract_y
_atom_site_fract_z
Ba1 0.0000 0.0869 0.2500
Ga1 0.0000 0.4331 0.2500
Ge1 0.0000 0.1357 0.7500
Ge2 0.0000 0.2808 0.5375
# energy of formation: -158 meV per atom
# ΔE to the lowest computed polymorph: 61 meV per atom
# crystal system: orthorhombic
# E_tot: -3.918 eV per atom
# total magnetic moment: 0.000 μB per formula unit
# DOS(E_F): 0.52 states/eV per atom
# V: 25.69 Å³ per atom


No. 4
# Ba4Ga3Ge PBE optimized geometry
data_Ba4Ga3Ge
_space_group_name_H-M_alt 'P m m 2'
_space_group_IT_number 25
_space_group_name_Hall 'P 2 -2'
_cell_length_a 4.4823
_cell_length_b 5.0010
_cell_length_c 12.6927
_cell_angle_alpha 90.00
_cell_angle_beta 90.00
_cell_angle_gamma 90.00
loop_
_atom_site_label
_atom_site_fract_x
_atom_site_fract_y
_atom_site_fract_z
Ba1 0.0000 0.0000 0.0000
Ba2 0.0000 0.5000 0.4892
Ba3 0.5000 0.0000 0.7106
Ba4 0.5000 0.5000 0.2141
Ga1 0.0000 0.5000 0.8024
Ga2 0.5000 0.0000 0.4117
Ga3 0.5000 0.5000 0.9078
Ge1 0.0000 0.0000 0.2892
# energy of formation: -423 meV per atom
# crystal system: orthorhombic
# E_tot: -3.097 eV per atom
# total magnetic moment: 0.020 μB per formula unit
# DOS(E_F): 1.10 states/eV per atom
# V: 35.56 Å³ per atom


No. 5
# BaGa2GeH2 PBE optimized geometry
data_BaGa2GeH2
_space_group_name_H-M_alt 'P 1 21/m 1'
_space_group_IT_number 11
_space_group_name_Hall '-P 2yb'
_cell_length_a 6.5963
_cell_length_b 6.0212
_cell_length_c 6.7457
_cell_angle_alpha 90.00
_cell_angle_beta 113.12
_cell_angle_gamma 90.00
loop_
_atom_site_label
_atom_site_fract_x
_atom_site_fract_y
_atom_site_fract_z
Ba1 0.2007 0.2500 0.3114
Ga1 0.3346 0.5039 0.7937
Ge1 0.3068 0.7500 0.1062
H1 0.1568 0.2500 0.6942
H2 0.3749 0.7500 0.6453
# crystal system: monoclinic
# E_tot: -3.341 eV per atom
# total magnetic moment: 0.000 μB per formula unit
# DOS(E_F): 0.03 states/eV per atom
# V: 20.53 Å³ per atom


No. 6
# Ba2GaGeH PBE optimized geometry
data_Ba2GaGeH
_space_group_name_H-M_alt 'P 1 21/m 1'
_space_group_IT_number 11
_space_group_name_Hall '-P 2yb'
_cell_length_a 6.5494
_cell_length_b 4.4895
_cell_length_c 9.9279
_cell_angle_alpha 90.00
_cell_angle_beta 105.58
_cell_angle_gamma 90.00
loop_
_atom_site_label
_atom_site_fract_x
_atom_site_fract_y
_atom_site_fract_z
Ba1 0.2008 0.2500 0.4179
Ba2 0.2810 0.7500 0.0608
Ga1 0.3302 0.7500 0.6960
Ge1 0.1737 0.2500 0.7867
H1 0.4019 0.2500 0.2045
# crystal system: monoclinic
# E_tot: -3.450 eV per atom
# total magnetic moment: 0.000 μB per formula unit
# DOS(E_F): 0.14 states/eV per atom
# V: 28.12 Å³ per atom


No. 7
# Ba2Ga4HgGe3 PBE optimized geometry
data_Ba2Ga4HgGe3
_space_group_name_H-M_alt 'P -4 m 2'
_space_group_IT_number 115
_space_group_name_Hall 'P -4 -2'
_cell_length_a 4.8320
_cell_length_b 4.8320
_cell_length_c 10.4507
_cell_angle_alpha 90.00
_cell_angle_beta 90.00
_cell_angle_gamma 90.00
loop_
_atom_site_label
_atom_site_fract_x
_atom_site_fract_y
_atom_site_fract_z
Ba1 0.0000 0.5000 0.2466
Ga1 0.0000 0.0000 0.0000
Ga2 0.0000 0.5000 0.6315
Ga3 0.5000 0.5000 0.0000
Hg1 0.0000 0.0000 0.5000
Ge1 0.0000 0.5000 0.8822
Ge2 0.5000 0.5000 0.5000
# energy of formation: -365 meV per atom
# crystal system: tetragonal
# E_tot: -3.376 eV per atom
# total magnetic moment: 0.000 μB per formula unit
# DOS(E_F): 0.29 states/eV per atom
# V: 24.40 Å³ per atom


No. 8
# Ba2Ga4Hg3Ge PBE optimized geometry
data_Ba2Ga4Hg3Ge
_space_group_name_H-M_alt 'P -4 m 2'
_space_group_IT_number 115
_space_group_name_Hall 'P -4 -2'
_cell_length_a 4.7765
_cell_length_b 4.7765
_cell_length_c 11.2640
_cell_angle_alpha 90.00
_cell_angle_beta 90.00
_cell_angle_gamma 90.00
loop_
_atom_site_label
_atom_site_fract_x
_atom_site_fract_y
_atom_site_fract_z
Ba1 0.0000 0.5000 0.2457
Ga1 0.0000 0.0000 0.5000
Ga2 0.0000 0.5000 0.8750
Ga3 0.5000 0.5000 0.5000
Hg1 0.0000 0.0000 0.0000
Hg2 0.0000 0.5000 0.6324
Ge1 0.5000 0.5000 0.0000
# energy of formation: -370 meV per atom
# crystal system: tetragonal
# E_tot: -2.518 eV per atom
# total magnetic moment: 0.000 μB per formula unit
# DOS(E_F): 0.33 states/eV per atom
# V: 25.70 Å³ per atom


No. 9
# Ba2In4Ga3Ge PBE optimized geometry
data_Ba2In4Ga3Ge
_space_group_name_H-M_alt 'P -4 m 2'
_space_group_IT_number 115
_space_group_name_Hall 'P -4 -2'
_cell_length_a 4.9332
_cell_length_b 4.9332
_cell_length_c 11.2686
_cell_angle_alpha 90.00
_cell_angle_beta 90.00
_cell_angle_gamma 90.00
loop_
_atom_site_label
_atom_site_fract_x
_atom_site_fract_y
_atom_site_fract_z
Ba1 0.0000 0.5000 0.2409
In1 0.0000 0.0000 0.5000
In2 0.0000 0.5000 0.8766
In3 0.5000 0.5000 0.5000
Ga1 0.0000 0.0000 0.0000
Ga2 0.0000 0.5000 0.6330
Ge1 0.5000 0.5000 0.0000
# energy of formation: -358 meV per atom
# crystal system: tetragonal
# E_tot: -3.207 eV per atom
# total magnetic moment: 0.000 μB per formula unit
# DOS(E_F): 0.36 states/eV per atom
# V: 27.42 Å³ per atom


No. 10
# BaIn2GaGe PBE optimized geometry
data_BaIn2GaGe
_space_group_name_H-M_alt 'I m m 2'
_space_group_IT_number 44
_space_group_name_Hall 'I 2 -2'
_cell_length_a 4.7248
_cell_length_b 5.2165
_cell_length_c 11.2585
_cell_angle_alpha 90.00
_cell_angle_beta 90.00
_cell_angle_gamma 90.00
loop_
_atom_site_label
_atom_site_fract_x
_atom_site_fract_y
_atom_site_fract_z
Ba1 0.0000 0.0000 0.0000
In1 0.0000 0.0000 0.3686
In2 0.0000 0.5000 0.2461
Ga1 0.0000 0.5000 0.7250
Ge1 0.0000 0.0000 0.6131
# energy of formation: -320 meV per atom
# crystal system: orthorhombic
# E_tot: -3.329 eV per atom
# total magnetic moment: 0.000 μB per formula unit
# DOS(E_F): 0.37 states/eV per atom
# V: 27.75 Å³ per atom


No. 11
# BaInGaGe2 PBE optimized geometry
data_BaInGaGe2
_space_group_name_H-M_alt 'P 4/m m m'
_space_group_IT_number 123
_space_group_name_Hall '-P 4 2'
_cell_length_a 5.3975
_cell_length_b 5.3975
_cell_length_c 5.3766
_cell_angle_alpha 90.00
_cell_angle_beta 90.00
_cell_angle_gamma 90.00
loop_
_atom_site_label
_atom_site_fract_x
_atom_site_fract_y
_atom_site_fract_z
Ba1 0.0000 0.0000 0.0000
In1 0.5000 0.5000 0.5000
Ga1 0.5000 0.5000 0.0000
Ge1 0.0000 0.5000 0.5000
# energy of formation: 147 meV per atom
# crystal system: tetragonal
# E_tot: -3.238 eV per atom
# total magnetic moment: 0.000 μB per formula unit
# DOS(E_F): 0.66 states/eV per atom
# V: 31.33 Å³ per atom


No. 12
# Ba2InGa4Ge3 PBE optimized geometry
data_Ba2InGa4Ge3
_space_group_name_H-M_alt 'P -4 m 2'
_space_group_IT_number 115
_space_group_name_Hall 'P -4 -2'
_cell_length_a 4.6427
_cell_length_b 4.6427
_cell_length_c 11.5634
_cell_angle_alpha 90.00
_cell_angle_beta 90.00
_cell_angle_gamma 90.00
loop_
_atom_site_label
_atom_site_fract_x
_atom_site_fract_y
_atom_site_fract_z
Ba1 0.0000 0.5000 0.2459
In1 0.0000 0.0000 0.5000
Ga1 0.0000 0.0000 0.0000
Ga2 0.0000 0.5000 0.6369
Ga3 0.5000 0.5000 0.0000
Ge1 0.0000 0.5000 0.8785
Ge2 0.5000 0.5000 0.5000
# energy of formation: -342 meV per atom
# crystal system: tetragonal
# E_tot: -3.597 eV per atom
# total magnetic moment: 0.000 μB per formula unit
# DOS(E_F): 0.35 states/eV per atom
# V: 24.93 Å³ per atom


Repeat the twelfth record exactly.
# Ba2InGa4Ge3 PBE optimized geometry
data_Ba2InGa4Ge3
_space_group_name_H-M_alt 'P -4 m 2'
_space_group_IT_number 115
_space_group_name_Hall 'P -4 -2'
_cell_length_a 4.6427
_cell_length_b 4.6427
_cell_length_c 11.5634
_cell_angle_alpha 90.00
_cell_angle_beta 90.00
_cell_angle_gamma 90.00
loop_
_atom_site_label
_atom_site_fract_x
_atom_site_fract_y
_atom_site_fract_z
Ba1 0.0000 0.5000 0.2459
In1 0.0000 0.0000 0.5000
Ga1 0.0000 0.0000 0.0000
Ga2 0.0000 0.5000 0.6369
Ga3 0.5000 0.5000 0.0000
Ge1 0.0000 0.5000 0.8785
Ge2 0.5000 0.5000 0.5000
# energy of formation: -342 meV per atom
# crystal system: tetragonal
# E_tot: -3.597 eV per atom
# total magnetic moment: 0.000 μB per formula unit
# DOS(E_F): 0.35 states/eV per atom
# V: 24.93 Å³ per atom


- total magnetic moment of number 12 (Ba2InGa4Ge3)?
  0.000 μB per formula unit


- Which formula does entry 2 have?
  BaGa2Ge


- Among the records above, which one has the lowest V?
  BaGa2GeH2